No. 1
A plane-wave DFT calculation with PBE was carried out for crystalline AcErAl2Au5 at its relaxed geometry.

```
9
Lattice="4.919 0.000 0.000 0.000 4.919 0.000 0.000 0.000 8.262" Properties=species:S:1:pos:R:3 pbc="T T T"
Au 2.459 0.000 6.312
Au 0.000 2.459 1.950
Au 2.459 0.000 1.950
Au 0.000 2.459 6.312
Au 2.459 2.459 4.131
Ac 0.000 0.000 4.131
Er 0.000 0.000 0.000
Al 2.459 2.459 6.939
Al 2.459 2.459 1.323
```

Summary:
The space-group type is P4/mmm. As for the total DFT energy (no corrections): -4.20 eV per atom.


No. 2
A plane-wave DFT calculation with PBE was carried out for crystalline Ac2ErAl4Au3 at its relaxed geometry.

```
10
Lattice="4.484 0.000 0.000 0.000 4.484 0.000 0.000 0.000 11.776" Properties=species:S:1:pos:R:3 pbc="T T T"
Al 2.242 2.242 0.000
Al 2.242 0.000 7.788
Al 0.000 2.242 3.988
Al 0.000 0.000 0.000
Au 0.000 2.242 1.397
Au 2.242 0.000 10.379
Au 0.000 0.000 5.888
Er 2.242 2.242 5.888
Ac 2.242 0.000 2.771
Ac 0.000 2.242 9.005
```

Summary:
The space-group type is P-4m2. As for the total DFT energy (no corrections): -4.37 eV per atom.


No. 3
A plane-wave DFT calculation with PBE was carried out for crystalline AcEuAlAu at its relaxed geometry.

```
4
Lattice="-1.123 -0.679 5.313 -0.780 -5.030 2.011 3.734 -2.228 3.323" Properties=species:S:1:pos:R:3 pbc="T T T"
Ac 0.458 -1.984 2.662
Au 0.000 0.000 0.000
Al 0.916 -3.968 5.323
Eu 1.374 -5.952 7.985
```

Summary:
The space-group type is F-43m. As for the total DFT energy (no corrections): -5.82 eV per atom.


No. 4
A plane-wave DFT calculation with PBE was carried out for crystalline Ac2Al4GaAu3 at its relaxed geometry.

```
10
Lattice="4.537 0.000 0.000 0.000 4.537 0.000 0.000 0.000 10.688" Properties=species:S:1:pos:R:3 pbc="T T T"
Au 2.269 0.000 9.337
Au 0.000 0.000 5.344
Au 0.000 2.269 1.351
Ac 0.000 2.269 7.979
Ac 2.269 0.000 2.709
Al 2.269 2.269 0.000
Al 0.000 0.000 0.000
Al 2.269 0.000 6.742
Al 0.000 2.269 3.946
Ga 2.269 2.269 5.344
```

Summary:
The space-group type is P-4m2. As for the total DFT energy (no corrections): -4.30 eV per atom.


No. 5
A plane-wave DFT calculation with PBE was carried out for crystalline Ac3Al2GaAu6 at its relaxed geometry.

```
12
Lattice="-4.885 -0.726 4.251 -1.037 -0.996 -6.356 2.036 -8.158 0.947" Properties=species:S:1:pos:R:3 pbc="T T T"
Au -2.763 -6.514 3.016
Au -3.242 -6.975 0.078
Au -1.123 -3.367 -4.174
Au -3.381 -3.702 -2.209
Au -0.505 -6.178 1.051
Au -0.644 -2.906 -1.236
Ga 1.018 -4.079 0.473
Al -1.696 -8.455 1.602
Al -2.190 -1.426 -2.760
Ac 0.000 0.000 0.000
Ac -2.895 -3.651 1.044
Ac -0.991 -6.230 -2.202
```

Summary:
The space-group type is P-3m1. As for the total DFT energy (no corrections): -4.07 eV per atom.


No. 6
A plane-wave DFT calculation with PBE was carried out for crystalline Ac2AlGaAu6 at its relaxed geometry.

```
10
Lattice="-6.782 -0.473 -1.765 -0.471 -4.325 5.534 -5.707 2.052 3.567" Properties=species:S:1:pos:R:3 pbc="T T T"
Au -10.455 -2.360 6.654
Au -2.505 -0.386 0.682
Au -10.899 0.588 3.634
Au -4.639 -0.201 2.746
Au -8.321 -2.545 4.589
Au -2.061 -3.334 3.701
Ac -5.114 -2.087 5.428
Ac -7.845 -0.659 1.907
Ga 0.000 0.000 0.000
Al -3.627 -2.399 1.884
```

Summary:
The space-group type is P-1. As for the total DFT energy (no corrections): -4.06 eV per atom.


No. 7
A plane-wave DFT calculation with PBE was carried out for crystalline AcAlGaAu2 at its relaxed geometry.

```
5
Lattice="4.422 0.000 0.000 0.000 4.422 0.000 -2.211 -2.211 5.736" Properties=species:S:1:pos:R:3 pbc="T T T"
Au 0.000 0.000 4.308
Au 2.211 2.211 1.428
Ga 0.000 2.211 2.868
Al 2.211 0.000 2.868
Ac 0.000 0.000 0.000
```

Summary:
The space-group type is I-4m2. As for the total DFT energy (no corrections): -4.18 eV per atom.


No. 8
A plane-wave DFT calculation with PBE was carried out for crystalline Ac2AlGa4Au3 at its relaxed geometry.

```
10
Lattice="-1.664 2.243 3.486 -4.034 -0.010 -1.919 -2.374 -9.597 5.043" Properties=species:S:1:pos:R:3 pbc="T T T"
Ga -2.337 -4.960 4.939
Ga -2.849 1.117 0.784
Ga -2.887 -3.520 0.888
Ga 0.000 0.000 0.000
Al -4.036 -3.682 3.305
Au -1.187 -4.799 2.521
Au -2.329 -1.266 -0.297
Au -2.894 -7.215 6.124
Ac -1.423 -1.267 2.998
Ac -3.800 -7.214 2.828
```

Summary:
The space-group type is P-4m2. As for the total DFT energy (no corrections): -4.05 eV per atom.